(1)
Crystalline GaBr2 at its relaxed geometry. Source: Alexandria, functional PBE.

Unit cell a=3.955 b=4.833 c=6.613 alpha=90.00 beta=107.00 gamma=90.00
Fractional positions:
1 Ga 0.200 0.500 0.894
2 Br 0.268 0.000 0.031
3 Br 0.571 0.500 0.628

Values from the calculation:
Offset from the most stable computed form, eV per atom: 0.164



(2)
Crystalline Ga2Br at its relaxed geometry. Source: Alexandria, functional PBE.

Unit cell a=6.255 b=4.565 c=6.372 alpha=90.00 beta=119.34 gamma=90.00
Fractional positions:
1 Ga 0.407 0.395 0.049
2 Ga 0.858 0.395 0.952
3 Ga 0.142 0.895 0.048
4 Ga 0.593 0.895 0.951
5 Br 0.241 0.900 0.500
6 Br 0.759 0.400 0.500

Values from the calculation:
Offset from the most stable computed form, eV per atom: 0.003



(3)
Crystalline GaBr2 at its relaxed geometry. Source: Alexandria, functional PBE.

Unit cell a=5.191 b=9.029 c=10.216 alpha=90.00 beta=102.26 gamma=90.00
Fractional positions:
1 Ga 0.837 0.500 0.071
2 Ga 0.163 0.500 0.929
3 Ga 0.163 0.000 0.429
4 Ga 0.837 0.000 0.571
5 Br 0.500 0.202 0.500
6 Br 0.052 0.000 0.197
7 Br 0.500 0.298 0.000
8 Br 0.500 0.702 0.000
9 Br 0.052 0.500 0.697
10 Br 0.500 0.798 0.500
11 Br 0.948 0.500 0.303
12 Br 0.948 0.000 0.803

Values from the calculation:
Offset from the most stable computed form, eV per atom: 0.000



(4)
Crystalline GaBr2 at its relaxed geometry. Source: Alexandria, functional PBE.

Unit cell a=3.964 b=4.839 c=5.818 alpha=90.00 beta=90.00 gamma=90.00
Fractional positions:
1 Ga 0.500 0.000 0.336
2 Br 0.000 0.000 0.048
3 Br 0.500 0.500 0.483

Values from the calculation:
Offset from the most stable computed form, eV per atom: 0.163



(5)
Crystalline Ga2Br at its relaxed geometry. Source: Alexandria, functional PBE.

Unit cell a=4.692 b=5.839 c=6.795 alpha=104.32 beta=108.08 gamma=91.28
Fractional positions:
1 Ga 0.182 0.083 0.396
2 Ga 0.818 0.917 0.604
3 Ga 0.409 0.932 0.792
4 Ga 0.591 0.068 0.208
5 Br 0.341 0.458 0.724
6 Br 0.659 0.542 0.276

Values from the calculation:
Offset from the most stable computed form, eV per atom: 0.000



(6)
Crystalline Ga5Br at its relaxed geometry. Source: Alexandria, functional PBE.

Unit cell a=4.194 b=4.128 c=7.989 alpha=104.97 beta=90.00 gamma=90.00
Fractional positions:
1 Ga 0.500 0.500 0.000
2 Ga 0.000 0.687 0.373
3 Ga 0.500 0.825 0.651
4 Ga 0.500 0.175 0.349
5 Ga 0.000 0.313 0.627
6 Br 0.000 0.000 0.000



DOS(E_F) in states/eV per cell, matching the order above: 1.0; 1.1; 0.0; 0.9; 0.4; 3.1
E_tot in eV per atom, matching the order above: -2.72; -2.85; -2.88; -2.72; -2.86; -2.78